Record 1
First-principles (PBE) data for a geometry-optimized HoErBi structure, as listed in Alexandria via LeMat-Bulk.

Cell and atoms, written as POSCAR:
```
HoErBi
1.0
-3.542 5.269 -1.559
-4.087 -1.813 3.160
3.873 3.233 2.127
Ho Bi Er
2 2 2
direct
0.250 0.666 0.334
0.750 0.334 0.666
0.750 0.667 0.333
0.250 0.333 0.667
0.000 0.000 0.000
0.500 0.000 0.000
```

Properties
- Raw total energy: -4.765 eV/atom
- DOS(E_F): 7.66 states/eV per cell
- ΔH_f (0 K): -424 meV per atom

=====

Record 2
First-principles (PBE) data for a geometry-optimized HoEr3Bi3 structure, as listed in Alexandria via LeMat-Bulk.

Cell and atoms, written as POSCAR:
```
HoEr3Bi3
1.0
9.320 0.000 0.000
0.000 9.320 0.000
0.000 0.000 9.320
Bi Er Ho
12 12 4
direct
0.000 0.249 0.875
0.751 0.375 0.500
0.500 0.751 0.375
0.500 0.251 0.125
0.749 0.625 0.000
0.875 0.000 0.249
0.249 0.875 0.000
0.251 0.125 0.500
0.125 0.500 0.251
0.375 0.500 0.751
0.000 0.749 0.625
0.625 0.000 0.749
0.574 0.074 0.426
0.176 0.824 0.324
0.676 0.324 0.824
0.176 0.176 0.176
0.676 0.676 0.676
0.426 0.574 0.074
0.824 0.676 0.324
0.926 0.926 0.926
0.324 0.824 0.676
0.824 0.324 0.176
0.324 0.176 0.824
0.074 0.426 0.574
0.427 0.427 0.427
0.073 0.573 0.927
0.927 0.073 0.573
0.573 0.927 0.073
```

Properties
- Raw total energy: -4.951 eV/atom
- DOS(E_F): 31.44 states/eV per cell
- ΔH_f (0 K): -679 meV per atom

=====

Record 3
First-principles (PBE) data for a geometry-optimized HoEr3Bi3 structure, as listed in Alexandria via LeMat-Bulk.

Cell and atoms, written as POSCAR:
```
HoEr3Bi3
1.0
9.016 0.000 0.000
4.508 7.808 0.000
4.508 2.603 6.249
Er Bi Ho
6 6 2
direct
0.919 0.667 0.242
0.333 0.828 0.758
0.172 0.919 0.242
0.081 0.333 0.758
0.667 0.172 0.242
0.828 0.081 0.758
0.694 0.479 0.743
0.521 0.916 0.257
0.084 0.694 0.743
0.306 0.521 0.257
0.479 0.084 0.743
0.916 0.306 0.257
0.666 0.666 0.001
0.334 0.334 0.999
```

Properties
- Raw total energy: -4.886 eV/atom
- DOS(E_F): 11.32 states/eV per cell
- ΔH_f (0 K): -613 meV per atom